Entry 1:
Here is crystalline Li2Re2P at its relaxed geometry from the Alexandria database. Energies are from GGA-PBE.

Summary:
**Formation energy from the elements**: 0.5194 eV/atom
**Energy relative to the lowest polymorph listed for this composition**: 9.15 kcal/mol of atoms

a = 3.0059 Å, b = 3.0059 Å, c = 14.8172 Å
α = 90.00°, β = 90.00°, γ = 90.00°
Last column: nearest neighbours and their distance in Å.
Space group I4/mmm (No. 139)
Asymmetric unit:
Li 0.0000 0.5000 0.2500 (multiplicity 4)  4 Li 2.13
Re 0.0000 0.0000 0.0896 (multiplicity 4)  4 P 2.51, 1 Re 2.66
P 0.0000 0.0000 0.5000 (multiplicity 2)  8 Re 2.51

=====

Entry 2:
Here is crystalline LiRePRu2 at its relaxed geometry from the Alexandria database. Energies are from GGA-PBE.

Summary:
**Formation energy from the elements**: 0.5578 eV/atom

a = 4.3542 Å, b = 4.3542 Å, c = 4.4054 Å
α = 90.00°, β = 90.00°, γ = 90.00°
Last column: nearest neighbours and their distance in Å.
Space group P4/mmm (No. 123)
Asymmetric unit:
Li 0.0000 0.0000 0.0000 (multiplicity 1)  4 Re 3.08, 8 Ru 3.10
Re 0.5000 0.5000 0.0000 (multiplicity 1)  2 P 2.20
P 0.5000 0.5000 0.5000 (multiplicity 1)  4 Ru 2.18, 2 Re 2.20
Ru 0.0000 0.5000 0.5000 (multiplicity 2)  2 P 2.18

=====

Entry 3:
Here is crystalline LiReP2S at its relaxed geometry from the Alexandria database. Energies are from GGA-PBE.

Summary:
**Energy relative to the lowest polymorph listed for this composition**: 0.00 kcal/mol of atoms
**Uncorrected formation energy**: 0.248 eV/atom

a = 4.5446 Å, b = 4.5446 Å, c = 5.1383 Å
α = 90.00°, β = 90.00°, γ = 90.00°
Last column: nearest neighbours and their distance in Å.
Space group P4/mmm (No. 123)
Asymmetric unit:
Li 0.0000 0.0000 0.0000 (multiplicity 1)  4 S 3.21, 8 P 3.43
Re 0.5000 0.5000 0.5000 (multiplicity 1)  4 P 2.27
P 0.0000 0.5000 0.5000 (multiplicity 2)  2 Re 2.27
S 0.5000 0.5000 0.0000 (multiplicity 1)  2 Re 2.57

=====

Entry 4:
Here is crystalline LiReP2S at its relaxed geometry from the Alexandria database. Energies are from GGA-PBE.

Summary:
**Energy relative to the lowest polymorph listed for this composition**: 23.46 kcal/mol of atoms
**Uncorrected formation energy**: 1.265 eV/atom

a = 4.1807 Å, b = 4.1807 Å, c = 4.1868 Å
α = 90.00°, β = 90.00°, γ = 90.00°
Last column: nearest neighbours and their distance in Å.
Space group P4/mmm (No. 123)
Asymmetric unit:
Li 0.0000 0.0000 0.0000 (multiplicity 1)  4 P 2.09, 2 S 2.09
Re 0.5000 0.5000 0.5000 (multiplicity 1)  4 S 2.96, 8 P 2.96
P 0.0000 0.5000 0.0000 (multiplicity 2)  2 Li 2.09
S 0.0000 0.0000 0.5000 (multiplicity 1)  2 Li 2.09